1.
Compound: TbZrAs2
Source: Alexandria
Functional: GGA-PBE
Structure: relaxed

The structure in POSCAR format:
```
TbZrAs2
1.0
1.987 1.147 6.588
-1.987 1.147 6.588
0.000 -2.294 6.588
Tb Zr As
1 1 2
Direct
0.000 0.000 0.000
0.500 0.500 0.500
0.245 0.245 0.245
0.755 0.755 0.755
```

Fermi-level density of states = 0.42 states/eV per atom
space group = No. 166
DFT formation energy = -1324 meV/atom
volume = 90 Å³/cell
spin magnetization = 0.00 μB per formula unit

=====

2.
Compound: SmPaBi
Source: Alexandria
Functional: GGA-PBE
Structure: relaxed

The structure in POSCAR format:
```
SmPaBi
1.0
5.514 0.000 0.000
-2.757 4.775 0.000
0.000 0.000 3.400
Sm Pa Bi
1 1 1
Direct
0.000 0.000 0.000
0.333 0.667 0.466
0.667 0.333 0.749
```

Fermi-level density of states = 2.14 states/eV per atom
space group = No. 156
DFT formation energy = 120 meV/atom
volume = 90 Å³/cell
spin magnetization = 1.62 μB per formula unit

=====

3.
Compound: NiIr2W
Source: Alexandria
Functional: GGA-PBE
Structure: relaxed

The structure in POSCAR format:
```
NiIr2W
1.0
3.880 0.000 0.000
0.000 3.880 0.000
0.000 0.000 3.738
Ni Ir W
1 2 1
Direct
0.000 0.000 0.000
0.000 0.500 0.500
0.500 0.000 0.500
0.500 0.500 0.000
```

Fermi-level density of states = 0.94 states/eV per atom
space group = No. 123
DFT formation energy = -145 meV/atom
volume = 56 Å³/cell
spin magnetization = 0.00 μB per formula unit

=====

4.
Compound: BaHgRh2
Source: Alexandria
Functional: GGA-PBE
Structure: relaxed

The structure in POSCAR format:
```
BaHgRh2
1.0
-2.114 2.114 4.844
2.114 -2.114 4.844
2.114 2.114 -4.844
Ba Hg Rh
1 1 2
Direct
0.000 0.000 0.000
0.250 0.750 0.500
0.500 0.500 0.000
0.750 0.250 0.500
```

Fermi-level density of states = 0.95 states/eV per atom
space group = No. 119
DFT formation energy = 273 meV/atom
volume = 87 Å³/cell
spin magnetization = 0.00 μB per formula unit

=====

5.
Compound: Ca2Si4Pt3Rh
Source: Alexandria
Functional: GGA-PBE
Structure: relaxed

The structure in POSCAR format:
```
Ca2Si4Pt3Rh
1.0
4.116 0.000 0.000
0.000 4.116 0.000
0.000 0.000 10.246
Ca Si Pt Rh
2 4 3 1
Direct
0.000 0.500 0.247
0.500 0.000 0.753
0.000 0.000 0.000
0.000 0.500 0.631
0.500 0.000 0.369
0.500 0.500 0.000
0.000 0.500 0.870
0.500 0.000 0.130
0.500 0.500 0.500
0.000 0.000 0.500
```

Fermi-level density of states = 0.27 states/eV per atom
formation energy without anion corrections = -977 meV per atom
space group = No. 115
volume = 174 Å³/cell
spin magnetization = 0.00 μB per formula unit

=====

6.
Compound: Sm2Zn7Ga
Source: Alexandria
Functional: GGA-PBE
Structure: relaxed

The structure in POSCAR format:
```
Sm2Zn7Ga
1.0
4.197 0.000 0.000
0.000 4.197 0.000
0.000 0.000 10.664
Sm Zn Ga
2 7 1
Direct
0.000 0.500 0.250
0.500 0.000 0.750
0.000 0.000 0.000
0.000 0.000 0.500
0.000 0.500 0.634
0.000 0.500 0.863
0.500 0.000 0.137
0.500 0.000 0.366
0.500 0.500 0.500
0.500 0.500 0.000
```

Fermi-level density of states = 0.61 states/eV per atom
space group = No. 115
DFT formation energy = -349 meV/atom
volume = 188 Å³/cell
spin magnetization = 0.00 μB per formula unit

=====

7.
Compound: KPa2CuSe5
Source: Alexandria
Functional: GGA-PBE
Structure: relaxed

The structure in POSCAR format:
```
KPa2CuSe5
1.0
-3.975 3.975 7.213
3.975 -3.975 7.213
3.975 3.975 -7.213
K Pa Cu Se
2 4 2 10
Direct
0.250 0.250 0.000
0.750 0.750 0.000
0.157 0.657 0.814
0.343 0.157 0.500
0.657 0.843 0.500
0.843 0.343 0.186
0.250 0.750 0.500
0.750 0.250 0.500
0.000 0.000 0.000
0.020 0.227 0.500
0.227 0.727 0.206
0.273 0.480 0.500
0.480 0.980 0.206
0.500 0.500 0.000
0.520 0.020 0.794
0.727 0.520 0.500
0.773 0.273 0.794
0.980 0.773 0.500
```

Fermi-level density of states = 0.67 states/eV per atom
formation energy without anion corrections = -1186 meV per atom
space group = No. 140
volume = 456 Å³/cell
spin magnetization = 1.95 μB per formula unit

=====

8.
Compound: ZnGaCo3
Source: Alexandria
Functional: GGA-PBE
Structure: relaxed

The structure in POSCAR format:
```
ZnGaCo3
1.0
4.318 0.000 0.000
0.000 4.318 0.000
0.000 0.000 4.318
Zn Ga Co
1 1 3
Direct
0.000 0.000 0.000
0.500 0.500 0.500
0.000 0.500 0.500
0.500 0.000 0.500
0.500 0.500 0.000
```

Fermi-level density of states = 2.44 states/eV per atom
space group = No. 221
DFT formation energy = 958 meV/atom
volume = 81 Å³/cell
spin magnetization = 3.51 μB per formula unit

=====

9.
Compound: RbAgRhPb2
Source: Alexandria
Functional: GGA-PBE
Structure: relaxed

The structure in POSCAR format:
```
RbAgRhPb2
1.0
5.262 0.000 0.000
0.000 5.262 0.000
0.000 0.000 5.553
Rb Ag Rh Pb
1 1 1 2
Direct
0.000 0.000 0.000
0.500 0.500 0.000
0.500 0.500 0.500
0.000 0.500 0.500
0.500 0.000 0.500
```

Fermi-level density of states = 0.69 states/eV per atom
space group = No. 123
DFT formation energy = 61 meV/atom
volume = 154 Å³/cell
spin magnetization = 0.00 μB per formula unit

=====

10.
Compound: Sm12Bi6Ir
Source: Alexandria
Functional: GGA-PBE
Structure: relaxed

The structure in POSCAR format:
```
Sm12Bi6Ir
1.0
6.769 3.908 4.185
-6.769 3.908 4.185
0.000 -7.816 4.185
Sm Bi Ir
12 6 1
Direct
0.008 0.687 0.942
0.058 0.992 0.313
0.198 0.416 0.547
0.313 0.058 0.992
0.416 0.547 0.198
0.453 0.802 0.584
0.547 0.198 0.416
0.584 0.453 0.802
0.687 0.942 0.008
0.802 0.584 0.453
0.942 0.008 0.687
0.992 0.313 0.058
0.120 0.647 0.316
0.316 0.120 0.647
0.353 0.684 0.880
0.647 0.316 0.120
0.684 0.880 0.353
0.880 0.353 0.684
0.000 0.000 0.000
```

Fermi-level density of states = 0.74 states/eV per atom
space group = No. 148
DFT formation energy = -540 meV/atom
volume = 664 Å³/cell
spin magnetization = 0.00 μB per formula unit

=====

11.
Compound: CdRh
Source: Alexandria
Functional: GGA-PBE
Structure: relaxed

The structure in POSCAR format:
```
CdRh
1.0
0.000 3.242 3.242
3.242 0.000 3.242
3.242 3.242 0.000
Cd Rh
2 2
Direct
0.125 0.125 0.125
0.875 0.875 0.875
0.375 0.375 0.375
0.625 0.625 0.625
```

Fermi-level density of states = 1.25 states/eV per atom
space group = No. 227
DFT formation energy = 74 meV/atom
volume = 68 Å³/cell
spin magnetization = 0.57 μB per formula unit

=====

12.
Compound: Cd2Br
Source: Alexandria
Functional: GGA-PBE
Structure: relaxed

The structure in POSCAR format:
```
Cd2Br
1.0
-1.806 1.806 5.920
1.806 -1.806 5.920
1.806 1.806 -5.920
Cd Br
2 1
Direct
0.178 0.178 0.000
0.822 0.822 0.000
0.500 0.500 0.000
```

Fermi-level density of states = 0.26 states/eV per atom
formation energy without anion corrections = -191 meV per atom
space group = No. 139
volume = 77 Å³/cell
spin magnetization = 0.00 μB per formula unit

=====

Repeat the ninth record exactly.
Compound: RbAgRhPb2
Source: Alexandria
Functional: GGA-PBE
Structure: relaxed

The structure in POSCAR format:
```
RbAgRhPb2
1.0
5.262 0.000 0.000
0.000 5.262 0.000
0.000 0.000 5.553
Rb Ag Rh Pb
1 1 1 2
Direct
0.000 0.000 0.000
0.500 0.500 0.000
0.500 0.500 0.500
0.000 0.500 0.500
0.500 0.000 0.500
```

Fermi-level density of states = 0.69 states/eV per atom
space group = No. 123
DFT formation energy = 61 meV/atom
volume = 154 Å³/cell
spin magnetization = 0.00 μB per formula unit

=====

Please write out number 8 again, unchanged.
Compound: ZnGaCo3
Source: Alexandria
Functional: GGA-PBE
Structure: relaxed

The structure in POSCAR format:
```
ZnGaCo3
1.0
4.318 0.000 0.000
0.000 4.318 0.000
0.000 0.000 4.318
Zn Ga Co
1 1 3
Direct
0.000 0.000 0.000
0.500 0.500 0.500
0.000 0.500 0.500
0.500 0.000 0.500
0.500 0.500 0.000
```

Fermi-level density of states = 2.44 states/eV per atom
space group = No. 221
DFT formation energy = 958 meV/atom
volume = 81 Å³/cell
spin magnetization = 3.51 μB per formula unit